VASP calculation (GGA-PBE) on a relaxed structure of Y2ZrCl.

```
Y2ZrCl
1.0
7.5361 0.0000 0.0000
0.0000 7.5361 0.0000
0.0000 0.0000 7.5361
Y Zr Cl
8 4 4
Direct
0.0000 0.0000 0.0000
0.0000 0.5000 0.5000
0.2500 0.2500 0.2500
0.2500 0.7500 0.7500
0.5000 0.0000 0.5000
0.5000 0.5000 0.0000
0.7500 0.2500 0.7500
0.7500 0.7500 0.2500
0.0000 0.0000 0.5000
0.0000 0.5000 0.0000
0.5000 0.0000 0.0000
0.5000 0.5000 0.5000
0.2500 0.2500 0.7500
0.2500 0.7500 0.2500
0.7500 0.2500 0.2500
0.7500 0.7500 0.7500
```

Summary:
The space group is F-43m, No. 216. The magnetization is 6.62 Bohr magnetons per cell. As for the excess energy over the best structure of this formula in the dataset: 0.962 eV/atom. For the density, the calculation gives 4.725 g/cm³. As for the crystal system: cubic.